# 1
A relaxed structure of La2YHfAs4. Source: Alexandria, functional PBE.

abc: 4.146 7.189 7.230
angles: 109.20 90.00 90.00
Sites, in units of the cell vectors:
La 0.000 0.500 0.500
La 0.500 0.000 0.500
Y 0.000 0.000 0.000
As 0.500 0.747 0.771
As 0.000 0.268 0.777
As 0.500 0.253 0.229
As 0.000 0.732 0.223
Hf 0.500 0.500 0.000

The calculation puts the magnetic moment at 0.0 μB/f.u. The formation energy is -1417 meV per atom. The value obtained for the total energy is -7.026 eV per atom.

=====

# 2
A relaxed structure of LiHf3As4. Source: Alexandria, functional PBE.

abc: 6.601 6.653 7.677
angles: 90.00 90.00 109.57
Sites, in units of the cell vectors:
Hf 0.250 0.500 0.376
Hf 0.750 0.000 0.373
Hf 0.750 0.500 0.624
Hf 0.750 0.500 0.121
Hf 0.250 0.500 0.879
Hf 0.250 0.000 0.627
As 0.501 0.248 0.874
As 0.999 0.752 0.874
As 0.504 0.754 0.630
As 0.499 0.752 0.126
As 0.004 0.754 0.370
As 0.001 0.248 0.126
As 0.996 0.246 0.630
As 0.496 0.246 0.370
Li 0.750 0.000 0.887
Li 0.250 0.000 0.113

The calculation puts the magnetic moment at 0.0 μB/f.u. The formation energy is -918 meV per atom. The value obtained for the total energy is -7.215 eV per atom.

=====

- What is the magnetic moment in the first record?
  0.0 μB/f.u.

=====

What did the second record say?
A relaxed structure of LiHf3As4. Source: Alexandria, functional PBE.

abc: 6.601 6.653 7.677
angles: 90.00 90.00 109.57
Sites, in units of the cell vectors:
Hf 0.250 0.500 0.376
Hf 0.750 0.000 0.373
Hf 0.750 0.500 0.624
Hf 0.750 0.500 0.121
Hf 0.250 0.500 0.879
Hf 0.250 0.000 0.627
As 0.501 0.248 0.874
As 0.999 0.752 0.874
As 0.504 0.754 0.630
As 0.499 0.752 0.126
As 0.004 0.754 0.370
As 0.001 0.248 0.126
As 0.996 0.246 0.630
As 0.496 0.246 0.370
Li 0.750 0.000 0.887
Li 0.250 0.000 0.113

The calculation puts the magnetic moment at 0.0 μB/f.u. The formation energy is -918 meV per atom. The value obtained for the total energy is -7.215 eV per atom.